Entry 1:
The following is a PBE calculation of ScTa2Mo after structural relaxation, from the Alexandria database.

Computed properties:
Relative energy among the computed polymorphs = 0.182 eV/atom
Formation energy = 0.24 eV/atom

Unit cell a=2.754 b=4.717 c=5.678 alpha=90.00 beta=90.00 gamma=90.00
Element x y z (fractional)
1 Sc 0.500 0.500 0.748
2 Mo 0.000 0.000 0.497
3 Ta 0.000 0.000 0.001
4 Ta 0.500 0.500 0.253

***

Entry 2:
The following is a PBE calculation of Th2S5 after structural relaxation, from the Alexandria database.

Computed properties:
Formation energy from raw total energies = -1.736 eV per atom

Unit cell a=7.626 b=7.652 c=10.264 alpha=90.00 beta=90.00 gamma=90.00
Element x y z (fractional)
1 Th 0.734 0.482 0.354
2 Th 0.766 0.982 0.146
3 Th 0.734 0.982 0.646
4 Th 0.266 0.518 0.646
5 Th 0.766 0.482 0.854
6 Th 0.234 0.518 0.146
7 Th 0.266 0.018 0.354
8 Th 0.234 0.018 0.854
9 S 0.900 0.850 0.398
10 S 0.100 0.650 0.398
11 S 0.137 0.389 0.892
12 S 0.637 0.611 0.608
13 S 0.637 0.111 0.392
14 S 0.600 0.850 0.898
15 S 0.500 0.750 0.251
16 S 0.363 0.389 0.392
17 S 0.363 0.889 0.608
18 S 0.000 0.250 0.249
19 S 0.137 0.889 0.108
20 S 0.900 0.350 0.602
21 S 0.000 0.750 0.751
22 S 0.600 0.350 0.102
23 S 0.863 0.111 0.892
24 S 0.500 0.250 0.749
25 S 0.863 0.611 0.108
26 S 0.100 0.150 0.602
27 S 0.400 0.150 0.102
28 S 0.400 0.650 0.898

***

Entry 3:
The following is a PBE calculation of MgRu4 after structural relaxation, from the Alexandria database.

Computed properties:
Relative energy among the computed polymorphs = 1.741 eV/atom
Formation energy = 1.91 eV/atom

Unit cell a=4.365 b=4.365 c=4.365 alpha=90.00 beta=90.00 gamma=90.00
Site moments in Bohr magnetons follow the coordinates.
Element x y z (fractional)
1 Ru 0.500 0.000 0.500  0.14
2 Ru 0.000 0.500 0.500  0.14
3 Ru 0.500 0.500 0.000  0.14
4 Ru 0.000 0.000 0.000  1.40
5 Mg 0.500 0.500 0.500  0.00

***

Entry 4:
The following is a PBE calculation of KHfIO2 after structural relaxation, from the Alexandria database.

Computed properties:
Formation energy from raw total energies = -1.966 eV per atom
Relative energy among the computed polymorphs = 0.000 eV/atom

Unit cell a=4.233 b=4.233 c=5.942 alpha=90.00 beta=90.00 gamma=90.00
Element x y z (fractional)
1 Hf 0.000 0.000 0.000
2 O 0.000 0.500 0.000
3 O 0.500 0.000 0.000
4 I 0.000 0.000 0.500
5 K 0.500 0.500 0.500

***

Q: What is the formula in the first record?
A: ScTa2Mo